# 1
# CsGaSnSe4 (PBE-GGA, optimized geometry)
data_CsGaSnSe4
_symmetry_space_group_name_H-M 'P 1 21/m 1'
_symmetry_Int_Tables_number 11
_cell_length_a 6.563
_cell_length_b 8.103
_cell_length_c 9.964
_cell_angle_alpha 90.00
_cell_angle_beta 103.67
_cell_angle_gamma 90.00
loop_
_symmetry_equiv_pos_as_xyz
'x,y,z'
'-x,-y,-z'
'-x,y+1/2,-z'
'x,-y+1/2,z'
loop_
_atom_site_label
_atom_site_fract_x
_atom_site_fract_y
_atom_site_fract_z
_atom_site_occupancy
Cs1 0.227 0.250 0.393 1
Ga1 0.359 0.750 0.197 1
Sn1 0.147 0.250 0.810 1
Se1 0.055 0.750 0.000 1
Se2 0.184 0.750 0.392 1
Se3 0.399 0.016 0.786 1
# Raw formation energy, eV/atom: -0.691
# Size of the total moment, μB/f.u.: 0.00
# VASP energy, eV per cell: -53.32
# Density, g/cm³: 4.11

# 2
# Cs2GaSnSe4 (PBE-GGA, optimized geometry)
data_Cs2GaSnSe4
_symmetry_space_group_name_H-M 'F d d d'
_symmetry_Int_Tables_number 70
_cell_length_a 6.588
_cell_length_b 14.951
_cell_length_c 25.575
_cell_angle_alpha 90.00
_cell_angle_beta 90.00
_cell_angle_gamma 90.00
loop_
_symmetry_equiv_pos_as_xyz
'x,y,z'
'-x,-y,-z'
'-x+1/4,-y+1/4,z'
'x+1/4,y+1/4,-z'
'x,-y+1/4,-z+1/4'
'-x,y+1/4,z+1/4'
'-x+1/4,y,-z+1/4'
'x+1/4,-y,z+1/4'
'x,y+1/2,z+1/2'
'-x,-y+1/2,-z+1/2'
'-x+1/4,-y+3/4,z+1/2'
'x+1/4,y+3/4,-z+1/2'
'x,-y+3/4,-z+3/4'
'-x,y+3/4,z+3/4'
'-x+1/4,y+1/2,-z+3/4'
'x+1/4,-y+1/2,z+3/4'
'x+1/2,y,z+1/2'
'-x+1/2,-y,-z+1/2'
'-x+3/4,-y+1/4,z+1/2'
'x+3/4,y+1/4,-z+1/2'
'x+1/2,-y+1/4,-z+3/4'
'-x+1/2,y+1/4,z+3/4'
'-x+3/4,y,-z+3/4'
'x+3/4,-y,z+3/4'
'x+1/2,y+1/2,z'
'-x+1/2,-y+1/2,-z'
'-x+3/4,-y+3/4,z'
'x+3/4,y+3/4,-z'
'x+1/2,-y+3/4,-z+1/4'
'-x+1/2,y+3/4,z+1/4'
'-x+3/4,y+1/2,-z+1/4'
'x+3/4,-y+1/2,z+1/4'
loop_
_atom_site_label
_atom_site_fract_x
_atom_site_fract_y
_atom_site_fract_z
_atom_site_occupancy
Cs1 0.125 0.125 0.306 1
Ga1 0.125 0.125 0.625 1
Sn1 0.125 0.125 0.125 1
Se1 0.096 0.280 0.820 1
# Raw formation energy, eV/atom: -0.809
# Size of the total moment, μB/f.u.: 0.00
# Density of states at the Fermi level, states/eV/atom: 0.666
# VASP energy, eV per cell: -233.17
# Density, g/cm³: 4.06

# 3
# CsGaSn2Se (PBE-GGA, optimized geometry)
data_CsGaSn2Se
_symmetry_space_group_name_H-M 'P 4/m m m'
_symmetry_Int_Tables_number 123
_symmetry_space_group_name_Hall '-P 4 2'
_cell_length_a 6.344
_cell_length_b 6.344
_cell_length_c 6.096
_cell_angle_alpha 90.00
_cell_angle_beta 90.00
_cell_angle_gamma 90.00
loop_
_atom_site_label
_atom_site_fract_x
_atom_site_fract_y
_atom_site_fract_z
_atom_site_occupancy
Cs1 0.000 0.000 0.000 1
Ga1 0.500 0.500 0.500 1
Sn1 0.000 0.500 0.000 1
Se1 0.000 0.000 0.500 1
# Raw formation energy, eV/atom: 1.156
# Size of the total moment, μB/f.u.: 0.00
# Density of states at the Fermi level, states/eV/atom: 1.464
# VASP energy, eV per cell: -9.59
# Density, g/cm³: 3.51

Repeat the third record exactly.
# CsGaSn2Se (PBE-GGA, optimized geometry)
data_CsGaSn2Se
_symmetry_space_group_name_H-M 'P 4/m m m'
_symmetry_Int_Tables_number 123
_symmetry_space_group_name_Hall '-P 4 2'
_cell_length_a 6.344
_cell_length_b 6.344
_cell_length_c 6.096
_cell_angle_alpha 90.00
_cell_angle_beta 90.00
_cell_angle_gamma 90.00
loop_
_atom_site_label
_atom_site_fract_x
_atom_site_fract_y
_atom_site_fract_z
_atom_site_occupancy
Cs1 0.000 0.000 0.000 1
Ga1 0.500 0.500 0.500 1
Sn1 0.000 0.500 0.000 1
Se1 0.000 0.000 0.500 1
# Raw formation energy, eV/atom: 1.156
# Size of the total moment, μB/f.u.: 0.00
# Density of states at the Fermi level, states/eV/atom: 1.464
# VASP energy, eV per cell: -9.59
# Density, g/cm³: 3.51